Computed, not measured: a PBEsol-optimized structure of TePHI2 at the meta-GGA SCAN level of DFT.

a = 5.5099 Å, b = 5.5099 Å, c = 5.1568 Å
α = 90.00°, β = 90.00°, γ = 90.00°
Atoms (fractional coordinates):
1 Te 0.0000 0.0000 0.0000
2 P 0.0000 0.0000 0.5000
3 H 0.5000 0.5000 0.0000
4 I 0.0000 0.5000 0.5000
5 I 0.5000 0.0000 0.5000

For the electronic total energy, the calculation gives -120.7 eV for the cell shown. The calculation puts the density of states at the Fermi level at 3.3 states/eV/f.u. The crystal system is tetragonal.